RbCo3Te | GGA-PBE | relaxed

Calculated values
**E_form (uncorrected)**: 2.283 eV per atom
**Polymorph energy (0 for the lowest one)**: 1330.9 meV per atom
**Mass density**: 6.125 g cm⁻³
**Total moment**: 4.34 μB/cell
**DOS(E_F)**: 3.259 states/eV per atom

CIF file:
```
data_RbCo3Te
_chemical_formula_sum 'Rb1 Co3 Te1'
_cell_length_a 4.728
_cell_length_b 4.728
_cell_length_c 4.728
_cell_angle_alpha 90.00
_cell_angle_beta 90.00
_cell_angle_gamma 90.00
_symmetry_space_group_name_H-M 'P m -3 m'
_symmetry_Int_Tables_number 221
_symmetry_space_group_name_Hall '-P 4 2 3'
loop_
_atom_site_label
_atom_site_fract_x
_atom_site_fract_y
_atom_site_fract_z
Rb1 0.000 0.000 0.000
Co1 0.000 0.000 0.500
Te1 0.500 0.500 0.500
```